Compound: NaAg3Os
Source: Alexandria via LeMat-Bulk
Functional: GGA-PBE
Structure: optimized geometry

Lattice parameters (Å, degrees): 5.157 5.157 5.157 90.00 90.00 90.00
Each line ends with the local moment (μB).
Atoms (fractional coordinates):
Na: 0.500 0.500 0.500  0.00
Os: 0.000 0.000 0.000  1.72
Ag: 0.000 0.500 0.000  0.10
Ag: 0.000 0.000 0.500  0.19
Ag: 0.500 0.000 0.000  0.06

Output
Polymorph energy (0 for the lowest one) ... 0.00 eV per formula unit
Symmetry ... No. 221
Formation enthalpy at 0 K ... 1.08 eV per atom

Compound: BeCo3W
Source: Alexandria via LeMat-Bulk
Functional: GGA-PBE
Structure: optimized geometry

Lattice parameters (Å, degrees): 4.397 4.397 4.397 90.00 90.00 90.00
Atoms (fractional coordinates):
Be: 0.500 0.500 0.500
Co: 0.000 0.500 0.000
Co: 0.000 0.000 0.500
Co: 0.500 0.000 0.000
W: 0.000 0.000 0.000

Output
Polymorph energy (0 for the lowest one) ... 6.63 eV per formula unit
Symmetry ... No. 221
Formation enthalpy at 0 K ... 1.75 eV per atom

Compound: Mg15V
Source: Alexandria via LeMat-Bulk
Functional: GGA-PBE
Structure: optimized geometry

Lattice parameters (Å, degrees): 6.311 6.311 10.354 90.00 90.00 120.00
Each line ends with the local moment (μB).
Atoms (fractional coordinates):
Mg: 0.000 0.000 0.500  0.01
Mg: 0.999 0.500 0.000  0.00
Mg: 0.002 0.501 0.500  0.01
Mg: 0.500 0.500 0.000  0.00
Mg: 0.499 0.501 0.500  0.01
Mg: 0.500 0.001 0.000  0.00
Mg: 0.499 0.998 0.500  0.01
Mg: 0.164 0.328 0.756  0.00
Mg: 0.164 0.328 0.244  0.00
Mg: 0.164 0.836 0.756  0.00
Mg: 0.164 0.836 0.244  0.00
Mg: 0.672 0.836 0.756  0.00
Mg: 0.672 0.836 0.244  0.00
Mg: 0.667 0.333 0.748  0.01
Mg: 0.667 0.333 0.252  0.01
V: 0.000 0.000 0.000  2.72

Output
Symmetry ... No. 187
Formation enthalpy at 0 K ... 0.07 eV per atom

Q: Among the records above, which one has the highest formation enthalpy at 0 K?
A: BeCo3W

Q: Among the records above, which one has the lowest formation enthalpy at 0 K?
A: Mg15V

Q: Which of these has the lowest formation enthalpy at 0 K?
A: Mg15V

Q: formation enthalpy at 0 K of number 2 (BeCo3W)?
A: 1.75 eV per atom